# 1
NaOs2Ru | PBE | relaxed

abc: 7.4401 7.4401 5.0727
angles: 90.00 90.00 90.00
Last column: nearest neighbours and their distance in Å.
Space group I-42d (No. 122)
Asymmetric unit:
Na (0.0000, 0.0000, 0.0000) [4 per cell]  2 Ru 2.54
Os (0.1945, 0.2500, 0.6250) [8 per cell]  2 Ru 2.44, 2 Os 2.67
Ru (0.0000, 0.0000, 0.5000) [4 per cell]  4 Os 2.44, 2 Na 2.54

## Properties
Excess energy over the best structure of this formula in the dataset (meV per atom): 136
ΔE_f (eV per atom): 1.1835

---

# 2
NaOs2Ru | PBE | relaxed

abc: 6.1801 6.1801 6.1801
angles: 90.00 90.00 90.00
Last column: nearest neighbours and their distance in Å.
Space group Fm-3m (No. 225)
Asymmetric unit:
Na (0.0000, 0.0000, 0.0000) [4 per cell]  8 Os 2.68
Os (0.2500, 0.2500, 0.2500) [8 per cell]  4 Na 2.68, 4 Ru 2.68
Ru (0.0000, 0.0000, 0.5000) [4 per cell]  8 Os 2.68

## Properties
Excess energy over the best structure of this formula in the dataset (meV per atom): 0
ΔE_f (eV per atom): 1.0474

---

# 3
NaOs3Ru | PBE | relaxed

abc: 4.7118 4.7118 4.7118
angles: 90.00 90.00 90.00
Last column: nearest neighbours and their distance in Å.
Space group Pm-3m (No. 221)
Asymmetric unit:
Na (0.0000, 0.0000, 0.0000) [1 per cell]  12 Os 3.33
Os (0.0000, 0.5000, 0.5000) [3 per cell]  2 Ru 2.36
Ru (0.5000, 0.5000, 0.5000) [1 per cell]  6 Os 2.36

## Properties
Excess energy over the best structure of this formula in the dataset (meV per atom): 0
ΔE_f (eV per atom): 2.0942

---

# 4
NaOs3Ru | PBE | relaxed

abc: 4.3450 4.3450 4.3450
angles: 90.00 90.00 90.00
Last column: nearest neighbours and their distance in Å.
Space group Pm-3m (No. 221)
Asymmetric unit:
Na (0.0000, 0.0000, 0.0000) [1 per cell]  6 Os 2.17
Os (0.0000, 0.0000, 0.5000) [3 per cell]  2 Na 2.17
Ru (0.5000, 0.5000, 0.5000) [1 per cell]  12 Os 3.07

## Properties
Excess energy over the best structure of this formula in the dataset (meV per atom): 965
ΔE_f (eV per atom): 3.0593

---

# 5
NaOs2S | PBE | relaxed

abc: 7.2168 7.2168 5.0959
angles: 90.00 90.00 90.00
Last column: nearest neighbours and their distance in Å.
Space group I-42d (No. 122)
Asymmetric unit:
Na (0.0000, 0.0000, 0.0000) [4 per cell]  2 S 2.55
Os (0.1585, 0.2500, 0.6250) [8 per cell]  2 S 2.23
S (0.0000, 0.0000, 0.5000) [4 per cell]  4 Os 2.23

## Properties
E_form (uncorrected) (eV per atom): 0.756

---

# 6
Na2Os2S | PBE | relaxed

abc: 9.4841 9.4841 2.4409
angles: 90.00 90.00 90.00
Last column: nearest neighbours and their distance in Å.
Space group P4/mbm (No. 127)
Asymmetric unit:
Na (0.1975, 0.3025, 0.0000) [4 per cell]  2 Na 2.44
Os (0.0884, 0.5884, 0.5000) [4 per cell]  3 Os 2.37-2.44
S (0.0000, 0.0000, 0.0000) [2 per cell]  2 S 2.44

## Properties
Excess energy over the best structure of this formula in the dataset (meV per atom): 565
E_form (uncorrected) (eV per atom): 0.976

---

# 7
NaOsS3 | PBE | relaxed

abc: 4.6133 4.6133 4.6133
angles: 90.00 90.00 90.00
Last column: nearest neighbours and their distance in Å.
Space group Pm-3m (No. 221)
Asymmetric unit:
Na (0.0000, 0.0000, 0.0000) [1 per cell]  6 S 2.31
Os (0.5000, 0.5000, 0.5000) [1 per cell]  12 S 3.26
S (0.0000, 0.0000, 0.5000) [3 per cell]  2 Na 2.31

## Properties
Excess energy over the best structure of this formula in the dataset (meV per atom): 1849
E_form (uncorrected) (eV per atom): 1.931

---

# 8
Na3OsS | PBE | relaxed

abc: 5.5673 5.5673 5.5673
angles: 90.00 90.00 90.00
Last column: nearest neighbours and their distance in Å.
Space group Pm-3m (No. 221)
Asymmetric unit:
Na (0.0000, 0.0000, 0.5000) [3 per cell]  2 Os 2.78
Os (0.0000, 0.0000, 0.0000) [1 per cell]  6 Na 2.78
S (0.5000, 0.5000, 0.5000) [1 per cell]  12 Na 3.94

## Properties
Excess energy over the best structure of this formula in the dataset (meV per atom): 511
E_form (uncorrected) (eV per atom): 1.149

---

# 9
NaOsS3 | PBE | relaxed

abc: 4.6989 4.6989 4.6989
angles: 90.00 90.00 90.00
Last column: nearest neighbours and their distance in Å.
Space group Pm-3m (No. 221)
Asymmetric unit:
Na (0.0000, 0.0000, 0.0000) [1 per cell]  12 S 3.32
Os (0.5000, 0.5000, 0.5000) [1 per cell]  6 S 2.35
S (0.0000, 0.5000, 0.5000) [3 per cell]  2 Os 2.35

## Properties
Excess energy over the best structure of this formula in the dataset (meV per atom): 0
E_form (uncorrected) (eV per atom): 0.082

---

# 10
Na2OsS | PBE | relaxed

abc: 10.9012 10.9012 4.2959
angles: 90.00 90.00 90.00
Last column: nearest neighbours and their distance in Å.
Space group I-42d (No. 122)
Asymmetric unit:
Na (0.0218, 0.2500, 0.1250) [8 per cell]  2 S 2.79
Os (0.0000, 0.0000, 0.5000) [4 per cell]  2 S 2.15
S (0.0000, 0.0000, 0.0000) [4 per cell]  2 Os 2.15

## Properties
E_form (uncorrected) (eV per atom): 0.224

---

# 11
Na2Os2S | PBE | relaxed

abc: 3.4571 3.4571 18.0412
angles: 90.00 90.00 90.00
Last column: nearest neighbours and their distance in Å.
Space group I4/mmm (No. 139)
Asymmetric unit:
Na (0.0000, 0.0000, 0.0892) [4 per cell]  4 S 2.93, 1 Na 3.22
Os (0.0000, 0.5000, 0.2500) [4 per cell]  4 Os 2.44
S (0.0000, 0.0000, 0.5000) [2 per cell]  8 Na 2.93

## Properties
Excess energy over the best structure of this formula in the dataset (meV per atom): 0
E_form (uncorrected) (eV per atom): 0.411

---

# 12
Na3OsS | PBE | relaxed

abc: 5.2613 5.2613 5.2613
angles: 90.00 90.00 90.00
Last column: nearest neighbours and their distance in Å.
Space group Pm-3m (No. 221)
Asymmetric unit:
Na (0.0000, 0.0000, 0.5000) [3 per cell]  2 S 2.63
Os (0.5000, 0.5000, 0.5000) [1 per cell]  12 Na 3.72
S (0.0000, 0.0000, 0.0000) [1 per cell]  6 Na 2.63

## Properties
Excess energy over the best structure of this formula in the dataset (meV per atom): 0
E_form (uncorrected) (eV per atom): 0.638